1.
# SmMg3Ga2, relaxed, DFT PBE-GGA
data_SmMg3Ga2
_chemical_formula_sum 'Sm2 Mg6 Ga4'
_cell_length_a 8.516
_cell_length_b 8.516
_cell_length_c 8.230
_cell_angle_alpha 117.14
_cell_angle_beta 117.14
_cell_angle_gamma 30.43
_space_group_name_H-M_alt 'P 1'
_space_group_IT_number 1
loop_
_space_group_symop_operation_xyz
'x,y,z'
loop_
_atom_site_label
_atom_site_type_symbol
_atom_site_fract_x
_atom_site_fract_y
_atom_site_fract_z
Sm1 Sm 0.140 0.140 0.070
Sm2 Sm 0.860 0.860 0.930
Mg1 Mg 0.045 0.045 0.375
Mg2 Mg 0.313 0.313 0.539
Mg3 Mg 0.388 0.388 0.273
Mg4 Mg 0.612 0.612 0.727
Mg5 Mg 0.687 0.687 0.461
Mg6 Mg 0.955 0.955 0.625
Ga1 Ga 0.211 0.211 0.735
Ga2 Ga 0.484 0.484 0.839
Ga3 Ga 0.516 0.516 0.161
Ga4 Ga 0.789 0.789 0.265
# Space-group type: C2/m

2.
# SmMg2Ga, relaxed, DFT PBE-GGA
data_SmMg2Ga
_chemical_formula_sum 'Sm1 Mg2 Ga1'
_cell_length_a 4.405
_cell_length_b 4.405
_cell_length_c 4.838
_cell_angle_alpha 90.00
_cell_angle_beta 90.00
_cell_angle_gamma 90.00
_space_group_name_H-M_alt 'P 1'
_space_group_IT_number 1
loop_
_space_group_symop_operation_xyz
'x,y,z'
loop_
_atom_site_label
_atom_site_type_symbol
_atom_site_fract_x
_atom_site_fract_y
_atom_site_fract_z
Sm1 Sm 0.000 0.000 0.000
Mg1 Mg 0.000 0.500 0.500
Mg2 Mg 0.500 0.000 0.500
Ga1 Ga 0.500 0.500 0.000
# Space-group type: P4/mmm

no.,Fermi-level density of states (states/eV per cell),energy of formation from the pure elements (eV per atom),E above lowest polymorph (meV per atom)
1,4.325,-0.318,0
2,1.858,-0.294,13